# 1
First-principles (PBE) data for crystalline Tl3Au5I12 at its relaxed geometry, as listed in the Alexandria database.

Calculated values
E, eV per atom: -2.264
Total moment, μB/atom: 0.0000
Calculated volume, Å³/atom: 39.9
Raw formation energy, eV per atom: -0.16

Geometry as CIF:
```
data_Tl3Au5I12
_chemical_formula_sum 'Tl24 Au40 I96'
_symmetry_space_group_name_H-M 'I a -3 d'
_symmetry_Int_Tables_number 230
_symmetry_space_group_name_Hall '-I 4bd 2c 3'
_cell_length_a 18.550
_cell_length_b 18.550
_cell_length_c 18.550
_cell_angle_alpha 90.00
_cell_angle_beta 90.00
_cell_angle_gamma 90.00
loop_
_atom_site_label
_atom_site_fract_x
_atom_site_fract_y
_atom_site_fract_z
_atom_site_occupancy
Tl1 0.000 0.250 0.125 1
Au1 0.000 0.000 0.000 1
Au2 0.000 0.250 0.375 1
I1 0.030 0.049 0.646 1
```

=====

# 2
First-principles (PBE) data for crystalline Tl2ZnAuI at its relaxed geometry, as listed in the Alexandria database.

Calculated values
E, eV per atom: -2.362
Total moment, μB/atom: 0.0000
Calculated volume, Å³/atom: 33.2
Raw formation energy, eV per atom: -0.20

Geometry as CIF:
```
data_Tl2ZnAuI
_chemical_formula_sum 'Tl2 Zn1 Au1 I1'
_symmetry_space_group_name_H-M 'P 4/m m m'
_symmetry_Int_Tables_number 123
_symmetry_space_group_name_Hall '-P 4 2'
_cell_length_a 5.754
_cell_length_b 5.754
_cell_length_c 5.009
_cell_angle_alpha 90.00
_cell_angle_beta 90.00
_cell_angle_gamma 90.00
loop_
_atom_site_label
_atom_site_fract_x
_atom_site_fract_y
_atom_site_fract_z
_atom_site_occupancy
Tl1 0.000 0.500 0.000 1
Zn1 0.000 0.000 0.500 1
Au1 0.000 0.000 0.000 1
I1 0.500 0.500 0.500 1
```

=====

# 3
First-principles (PBE) data for crystalline TmAu2I6 at its relaxed geometry, as listed in the Alexandria database.

Calculated values
E, eV per atom: -2.833
Total moment, μB/atom: 0.0000
Calculated volume, Å³/atom: 47.3
Raw formation energy, eV per atom: -0.57

Geometry as CIF:
```
data_TmAu2I6
_chemical_formula_sum 'Tm4 Au8 I24'
_symmetry_space_group_name_H-M 'C 1 2/c 1'
_symmetry_Int_Tables_number 15
_symmetry_space_group_name_Hall '-C 2yc'
_cell_length_a 15.433
_cell_length_b 14.644
_cell_length_c 7.812
_cell_angle_alpha 90.00
_cell_angle_beta 105.42
_cell_angle_gamma 90.00
loop_
_atom_site_label
_atom_site_fract_x
_atom_site_fract_y
_atom_site_fract_z
_atom_site_occupancy
Tm1 0.000 0.071 0.250 1
Au1 0.236 0.423 0.783 1
I1 0.101 0.085 0.636 1
I2 0.135 0.487 0.455 1
I3 0.139 0.206 0.199 1
```